VASP calculation (PBE) on crystalline LiPSe4 at its relaxed geometry.

Values from the calculation:
ΔE_f (raw) ... -3.2 kcal/mol of atoms
Space group ... C2/c

abc: 5.730 8.047 8.096
angles: 119.80 115.90 90.00
Fractional positions:
Li 0.750 0.875 0.000
Li 0.250 0.125 0.000
P 0.500 0.000 0.500
P 0.000 0.500 0.500
Se 0.662 0.428 0.120
Se 0.699 0.166 0.365
Se 0.162 0.693 0.120
Se 0.199 0.198 0.365
Se 0.301 0.834 0.635
Se 0.338 0.572 0.880
Se 0.801 0.802 0.635
Se 0.838 0.307 0.880

***

VASP calculation (PBE) on crystalline NiAg2Rh at its relaxed geometry.

Values from the calculation:
Space group ... F-43m
Formation energy from the elements ... 0.339 eV/atom

abc: 4.438 4.438 4.438
angles: 60.00 60.00 60.00
Each line ends with the local moment (μB).
Fractional positions:
Ag 0.000 0.000 0.000  0.01
Ag 0.750 0.750 0.750  0.00
Ni 0.500 0.500 0.500  0.81
Rh 0.250 0.250 0.250  0.55

***

The total moment results, record by record, are as follows: 0.00, 1.32 μB per cell.
The uncorrected energy results, record by record, are as follows: -44.2, -17.5 eV for the cell shown.
The offset from the most stable computed form results, record by record, are as follows: 0, 190 meV/atom.